(1)
## Ca5Cr (GGA-PBE)

Data for crystalline Ca5Cr at its relaxed geometry.

Geometry as extended XYZ:
```
6
Lattice="5.8805 -1.9733 -2.8305 6.3534 1.7907 -1.7067 5.8448 -2.6712 6.4869" Properties=species:S:1:pos:R:3 pbc="T T T"
Ca 8.8788 -0.6091 -1.6966
Ca 15.3766 -1.7622 -0.5691
Ca 11.6936 -0.2426 -4.1085
Ca 6.0096 -1.0948 1.1377
Ca 12.5634 -2.1298 1.8460
Cr 8.9352 -2.4298 4.3776
```

* N(E_F): 6.0 states/eV per cell
* energy relative to the lowest polymorph listed for this composition: 0 meV per atom
* energy relative to the elements: 1.45 eV/f.u.
* raw total energy: -18.18 eV for the cell shown


(2)
## CaCr (GGA-PBE)

Data for crystalline CaCr at its relaxed geometry.

Geometry as extended XYZ:
```
8
Lattice="6.1903 0.0000 0.0000 0.0000 6.1903 0.0000 0.0000 0.0000 6.1239" Properties=species:S:1:pos:R:3 pbc="T T T"
Ca 4.2193 1.9709 0.0000
Ca 1.1242 1.1242 3.0620
Ca 5.0661 5.0661 3.0620
Ca 1.9709 4.2193 0.0000
Cr 0.6313 0.6313 0.0000
Cr 5.5589 5.5589 0.0000
Cr 3.7265 2.4638 3.0620
Cr 2.4638 3.7265 3.0620
```

* N(E_F): 11.6 states/eV per cell
* energy relative to the lowest polymorph listed for this composition: 726 meV per atom
* energy relative to the elements: 2.25 eV/f.u.
* raw total energy: -37.50 eV for the cell shown


(3)
## CaCr (GGA-PBE)

Data for crystalline CaCr at its relaxed geometry.

Geometry as extended XYZ:
```
8
Lattice="-2.3192 -0.7133 5.5628 -5.4937 -0.9216 -2.4086 1.1278 -5.9560 -0.2935" Properties=species:S:1:pos:R:3 pbc="T T T"
Cr -5.2039 -4.6842 -0.1155
Cr -2.5760 -6.1629 2.1022
Cr -0.6621 -0.7518 0.2833
Cr -4.9283 -3.5828 3.4512
Ca -2.7320 -3.1021 1.1690
Ca -1.9423 -4.2543 4.6612
Ca -6.2604 -1.8032 1.0740
Ca -2.4356 -6.0221 -1.1829
```

* N(E_F): 6.5 states/eV per cell
* energy relative to the lowest polymorph listed for this composition: 408 meV per atom
* energy relative to the elements: 1.61 eV/f.u.
* raw total energy: -40.04 eV for the cell shown


(4)
## Ca4Cr5 (GGA-PBE)

Data for crystalline Ca4Cr5 at its relaxed geometry.

Geometry as extended XYZ:
```
18
Lattice="-4.5062 -8.0995 -0.6432 6.3573 2.2980 -6.3738 4.5448 -2.8081 3.5205" Properties=species:S:1:pos:R:3 pbc="T T T"
Ca 4.0741 -4.1919 0.1175
Ca 0.0000 0.0000 0.0000
Ca 2.2724 -1.4040 1.7603
Ca 3.4219 0.1242 -1.4115
Ca 0.5225 -7.2935 2.2285
Ca 2.3217 -4.4176 -3.6140
Ca -0.4840 -3.6141 0.6489
Ca 7.4802 -0.6343 -1.4418
Cr -1.9448 -6.2398 0.4404
Cr 1.7216 -2.5369 -1.3392
Cr 2.7361 -1.1678 -4.4636
Cr 1.9833 -4.6678 2.4370
Cr -0.8851 -4.6336 -2.5534
Cr 4.6742 -6.0726 -2.1573
Cr 5.4192 -1.3793 0.6245
Cr 5.4828 0.8692 -3.4778
Cr 5.0085 -2.5718 -2.7033
Cr 1.3873 -6.0377 -0.7931
```

* N(E_F): 11.0 states/eV per cell
* energy relative to the elements: 8.20 eV/f.u.
* raw total energy: -95.84 eV for the cell shown


(5)
## CaCr4 (GGA-PBE)

Data for crystalline CaCr4 at its relaxed geometry.

Geometry as extended XYZ:
```
5
Lattice="-3.3402 3.3402 3.3402 3.3402 -3.3402 3.3402 3.3402 3.3402 -3.3402" Properties=species:S:1:pos:R:3 pbc="T T T"
Cr -1.6701 1.6701 1.6701
Cr 1.6701 -1.6701 1.6701
Cr 1.6701 1.6701 -1.6701
Cr 1.6701 1.6701 1.6701
Ca 0.0000 0.0000 0.0000
```

* N(E_F): 3.7 states/eV per cell
* energy relative to the lowest polymorph listed for this composition: 0 meV per atom
* energy relative to the elements: 10.61 eV/f.u.
* raw total energy: -29.89 eV for the cell shown


(6)
## CaCr5 (GGA-PBE)

Data for crystalline CaCr5 at its relaxed geometry.

Geometry as extended XYZ:
```
6
Lattice="-3.7746 6.5386 -1.2358 3.7589 -5.3296 3.9993 3.7805 2.0195 -0.8620" Properties=species:S:1:pos:R:3 pbc="T T T"
Ca -3.7569 6.5106 -1.2235
Cr 2.5378 0.5818 1.4062
Cr -0.3418 5.1182 -0.5949
Cr 4.4589 -2.4448 2.7412
Cr 1.5419 -1.8370 2.4587
Cr -1.3275 2.6835 0.4647
```

* N(E_F): 4.4 states/eV per cell
* energy relative to the lowest polymorph listed for this composition: 45 meV per atom
* energy relative to the elements: 3.61 eV/f.u.
* raw total energy: -46.51 eV for the cell shown


(7)
## CaCr (GGA-PBE)

Data for crystalline CaCr at its relaxed geometry.

Geometry as extended XYZ:
```
2
Lattice="3.5016 0.0000 0.0000 -1.7508 3.0325 0.0000 0.0000 0.0000 5.1481" Properties=species:S:1:pos:R:3 pbc="T T T"
Cr 1.7508 1.0108 2.5740
Ca 0.0000 0.0000 0.0000
```

* N(E_F): 1.5 states/eV per cell
* energy relative to the lowest polymorph listed for this composition: 496 meV per atom
* energy relative to the elements: 1.79 eV/f.u.
* raw total energy: -9.84 eV for the cell shown


(8)
## CaCr2 (GGA-PBE)

Data for crystalline CaCr2 at its relaxed geometry.

Geometry as extended XYZ:
```
3
Lattice="5.9543 -0.0252 0.0000 4.3489 4.0672 0.0000 -5.1516 -2.0210 2.1980" Properties=species:S:1:pos:R:3 pbc="T T T"
Ca 5.1516 2.0210 0.0000
Cr 2.2015 0.8636 0.0000
Cr 8.1017 3.1784 0.0000
```

* N(E_F): 3.7 states/eV per cell
* energy relative to the lowest polymorph listed for this composition: 160 meV per atom
* energy relative to the elements: 1.83 eV/f.u.
* raw total energy: -19.41 eV for the cell shown


(9)
## CaCr (GGA-PBE)

Data for crystalline CaCr at its relaxed geometry.

Geometry as extended XYZ:
```
12
Lattice="-2.2719 7.1709 4.7452 -5.1628 -5.0625 5.1785 6.8763 -1.4318 5.4559" Properties=species:S:1:pos:R:3 pbc="T T T"
Ca 2.5758 -3.6051 6.6811
Ca -5.0081 -0.2114 6.2565
Ca -0.8623 -2.8892 3.9532
Ca 1.7342 4.6623 6.2869
Ca 2.8702 1.0768 3.9142
Ca -2.4267 2.3198 3.6672
Cr 4.0213 2.5116 6.4645
Cr 0.5831 3.2275 3.7366
Cr -4.2854 2.8469 6.1482
Cr -0.4340 -4.5128 6.6118
Cr -3.1494 -0.7385 3.7755
Cr 2.1475 -1.9815 4.0226
```

* N(E_F): 9.4 states/eV per cell
* energy relative to the lowest polymorph listed for this composition: 1248 meV per atom
* energy relative to the elements: 3.29 eV/f.u.
* raw total energy: -49.99 eV for the cell shown


(10)
## CaCr4 (GGA-PBE)

Data for crystalline CaCr4 at its relaxed geometry.

Geometry as extended XYZ:
```
5
Lattice="4.7769 0.0000 0.0000 0.0000 4.7769 0.0000 0.0000 0.0000 4.7769" Properties=species:S:1:pos:R:3 pbc="T T T"
Ca 2.3885 2.3885 2.3885
Cr 2.3885 2.3885 0.0000
Cr 2.3885 0.0000 2.3885
Cr 0.0000 0.0000 0.0000
Cr 0.0000 2.3885 2.3885
```

* N(E_F): 3.1 states/eV per cell
* energy relative to the lowest polymorph listed for this composition: 96 meV per atom
* energy relative to the elements: 11.09 eV/f.u.
* raw total energy: -29.41 eV for the cell shown


(11)
## CaCr (GGA-PBE)

Data for crystalline CaCr at its relaxed geometry.

Geometry as extended XYZ:
```
4
Lattice="6.0987 -0.0013 0.0073 4.5561 5.3696 0.0068 0.9459 0.2720 3.2581" Properties=species:S:1:pos:R:3 pbc="T T T"
Ca 5.7832 5.4665 3.1979
Ca 8.6764 3.5100 2.5213
Cr 5.5797 2.5029 1.7266
Cr 3.3779 0.8321 0.7276
```

* N(E_F): 3.5 states/eV per cell
* energy relative to the lowest polymorph listed for this composition: 346 meV per atom
* energy relative to the elements: 1.49 eV/f.u.
* raw total energy: -20.27 eV for the cell shown


(12)
## Ca3Cr2 (GGA-PBE)

Data for crystalline Ca3Cr2 at its relaxed geometry.

Geometry as extended XYZ:
```
5
Lattice="2.6579 -4.6036 0.0000 2.6579 4.6036 0.0000 0.0000 0.0000 6.5662" Properties=species:S:1:pos:R:3 pbc="T T T"
Cr 2.6579 1.5345 5.6745
Cr 2.6579 -1.5345 0.8917
Ca 2.6579 1.5345 2.2815
Ca 0.0000 0.0000 0.0000
Ca 2.6579 -1.5345 4.2847
```

* N(E_F): 4.6 states/eV per cell
* energy relative to the elements: 3.18 eV/f.u.
* raw total energy: -22.07 eV for the cell shown


(13)
## Ca5Cr (GGA-PBE)

Data for crystalline Ca5Cr at its relaxed geometry.

Geometry as extended XYZ:
```
6
Lattice="0.0000 4.8977 4.8977 4.8977 0.0000 4.8977 4.8977 4.8977 0.0000" Properties=species:S:1:pos:R:3 pbc="T T T"
Cr 0.0000 0.0000 0.0000
Ca 6.1253 3.6700 3.6700
Ca 3.6700 3.6700 6.1253
Ca 3.6700 6.1253 3.6700
Ca 6.1253 6.1253 6.1253
Ca 2.4488 2.4488 2.4488
```

* N(E_F): 4.7 states/eV per cell
* energy relative to the lowest polymorph listed for this composition: 281 meV per atom
* energy relative to the elements: 3.14 eV/f.u.
* raw total energy: -16.49 eV for the cell shown


(14)
## CaCr (GGA-PBE)

Data for crystalline CaCr at its relaxed geometry.

Geometry as extended XYZ:
```
2
Lattice="-3.6277 -2.0985 -2.7605 1.1775 -3.2479 -3.6399 -1.0662 -4.8735 0.5443" Properties=species:S:1:pos:R:3 pbc="T T T"
Ca 0.0000 0.0000 0.0000
Cr -2.6373 -7.6649 -4.3921
```

* N(E_F): 1.5 states/eV per cell
* energy relative to the lowest polymorph listed for this composition: 1177 meV per atom
* energy relative to the elements: 3.15 eV/f.u.
* raw total energy: -8.47 eV for the cell shown


(15)
## CaCr (GGA-PBE)

Data for crystalline CaCr at its relaxed geometry.

Geometry as extended XYZ:
```
4
Lattice="6.0033 -0.0001 0.0000 2.4441 5.4833 0.0000 -4.2237 -2.7416 3.2686" Properties=species:S:1:pos:R:3 pbc="T T T"
Cr 3.0017 0.0000 1.6343
Cr 4.2237 2.7416 0.0000
Ca 0.0000 0.0000 0.0000
Ca 1.2221 2.7416 1.6343
```

* N(E_F): 3.4 states/eV per cell
* energy relative to the lowest polymorph listed for this composition: 372 meV per atom
* energy relative to the elements: 1.54 eV/f.u.
* raw total energy: -20.17 eV for the cell shown


(16)
## CaCr (GGA-PBE)

Data for crystalline CaCr at its relaxed geometry.

Geometry as extended XYZ:
```
2
Lattice="3.7853 0.0000 0.0000 0.0000 3.7853 0.0000 0.0000 0.0000 3.7853" Properties=species:S:1:pos:R:3 pbc="T T T"
Ca 0.0000 0.0000 0.0000
Cr 1.8927 1.8927 1.8927
```

* N(E_F): 1.5 states/eV per cell
* energy relative to the lowest polymorph listed for this composition: 322 meV per atom
* energy relative to the elements: 1.44 eV/f.u.
* raw total energy: -10.18 eV for the cell shown


(17)
## CaCr5 (GGA-PBE)

Data for crystalline CaCr5 at its relaxed geometry.

Geometry as extended XYZ:
```
6
Lattice="1.4550 4.3972 -0.0790 -1.4550 4.3972 -0.0790 0.0000 2.1997 7.2400" Properties=species:S:1:pos:R:3 pbc="T T T"
Cr 0.0000 3.7208 2.6123
Cr 0.0000 7.2733 4.4697
Cr 0.0000 6.5022 1.8978
Cr 0.0000 4.4918 5.1843
Cr 0.0000 1.0998 3.6200
Ca 0.0000 0.0000 0.0000
```

* N(E_F): 6.6 states/eV per cell
* energy relative to the lowest polymorph listed for this composition: 0 meV per atom
* energy relative to the elements: 3.34 eV/f.u.
* raw total energy: -46.78 eV for the cell shown


(18)
## Ca4Cr (GGA-PBE)

Data for crystalline Ca4Cr at its relaxed geometry.

Geometry as extended XYZ:
```
5
Lattice="-4.2139 -4.0250 -0.7261 0.1898 -1.2338 5.7381 -4.0855 4.0941 1.0154" Properties=species:S:1:pos:R:3 pbc="T T T"
Ca -2.0121 -2.6294 2.5060
Ca 0.0000 0.0000 0.0000
Ca -4.1497 0.0346 0.1447
Ca -1.9479 1.4302 3.3768
Cr -4.0548 -0.5823 3.0137
```

* N(E_F): 6.1 states/eV per cell
* energy relative to the lowest polymorph listed for this composition: 0 meV per atom
* energy relative to the elements: 2.30 eV/f.u.
* raw total energy: -15.33 eV for the cell shown


(19)
## CaCr2 (GGA-PBE)

Data for crystalline CaCr2 at its relaxed geometry.

Geometry as extended XYZ:
```
6
Lattice="-3.0708 4.0714 -0.9287 2.6136 -0.3098 4.4656 4.7273 2.9816 -2.5599" Properties=species:S:1:pos:R:3 pbc="T T T"
Cr 1.9006 1.8960 2.0275
Cr 2.3694 4.8472 -1.0505
Cr 2.3636 1.4908 -1.2800
Cr 0.0000 0.0000 0.0000
Ca 0.0058 3.3564 0.2294
Ca 4.2643 3.3868 0.7476
```

* N(E_F): 5.8 states/eV per cell
* energy relative to the lowest polymorph listed for this composition: 646 meV per atom
* energy relative to the elements: 3.29 eV/f.u.
* raw total energy: -35.91 eV for the cell shown


(20)
## CaCr (GGA-PBE)

Data for crystalline CaCr at its relaxed geometry.

Geometry as extended XYZ:
```
4
Lattice="-0.4732 2.6207 -4.7630 -0.2684 -5.4482 0.1550 -6.2974 0.3332 0.8090" Properties=species:S:1:pos:R:3 pbc="T T T"
Ca -1.9110 -2.6752 -1.2821
Ca -5.1280 0.1810 -2.5169
Cr -5.0598 -2.5086 -0.8776
Cr -1.9793 0.0144 -2.9214
```

* N(E_F): 2.7 states/eV per cell
* energy relative to the lowest polymorph listed for this composition: 949 meV per atom
* energy relative to the elements: 2.70 eV/f.u.
* raw total energy: -17.86 eV for the cell shown